A plane-wave DFT calculation with PBE was carried out for an optimized crystal structure of PuZr5Sc12.

The structure in POSCAR format:
```
PuZr5Sc12
1.0
-2.872 -9.393 -3.675
2.830 -5.141 -4.034
1.405 -9.372 4.626
Sc Zr Pu
12 5 1
Direct
0.001 0.335 0.665
0.663 0.335 0.335
0.999 0.665 0.335
0.167 0.334 0.831
0.833 0.666 0.169
0.337 0.665 0.665
0.169 0.000 0.168
0.333 0.000 0.332
0.499 0.334 0.169
0.501 0.666 0.831
0.667 0.000 0.668
0.831 0.000 0.832
0.167 0.666 0.500
0.668 0.664 0.000
0.833 0.334 0.500
0.332 0.336 0.000
0.500 0.000 0.500
0.000 0.000 0.000
```

Magnetization: 6.26 μB/cell
Calculated density: 4.855 g/cm³
Density of states at the Fermi level: 1.506 states/eV per atom
DFT total energy: -0.5408 Ry per atom